No. 1
VASP calculation (GGA-PBE) on a relaxed FeHgBiPt crystal. Values from VASP.

Structure (Quantum ESPRESSO input):
```
&SYSTEM
  ibrav = 0, nat = 4, ntyp = 4
/
ATOMIC_SPECIES
Bi 208.98 Bi.upf
Fe 55.84 Fe.upf
Hg 200.59 Hg.upf
Pt 195.08 Pt.upf
CELL_PARAMETERS angstrom
-1.400 -1.619 2.430
2.846 -0.147 1.542
-1.604 6.919 3.620
ATOMIC_POSITIONS crystal
Bi 0.394 0.000 0.366
Fe 0.401 0.000 0.777
Hg 0.904 0.500 0.001
Pt 0.899 0.500 0.617
```

Space group: Pm (6)
Total DFT energy (no corrections) (eV per formula unit): -18.24
Density of states at the Fermi level (states/eV per cell): 2.4

***

No. 2
VASP calculation (GGA-PBE) on a relaxed SnBi2N2 crystal. Values from VASP.

Structure (Quantum ESPRESSO input):
```
&SYSTEM
  ibrav = 0, nat = 10, ntyp = 3
/
ATOMIC_SPECIES
N 14.01 N.upf
Bi 208.98 Bi.upf
Sn 118.71 Sn.upf
CELL_PARAMETERS angstrom
8.274 0.000 0.000
0.000 8.274 0.000
0.000 0.000 3.404
ATOMIC_POSITIONS crystal
N 0.223 0.723 0.500
N 0.723 0.777 0.500
N 0.777 0.277 0.500
N 0.277 0.223 0.500
Bi 0.156 0.344 0.000
Bi 0.844 0.656 0.000
Bi 0.656 0.156 0.000
Bi 0.344 0.844 0.000
Sn 0.000 0.000 0.000
Sn 0.500 0.500 0.000
```

Space group: P4/mbm (127)
Formation energy from raw total energies (eV/atom): 1.040
Density of states at the Fermi level (states/eV per cell): 6.8

***

No. 3
VASP calculation (GGA-PBE) on a relaxed SnS3N crystal. Values from VASP.

Structure (Quantum ESPRESSO input):
```
&SYSTEM
  ibrav = 0, nat = 5, ntyp = 3
/
ATOMIC_SPECIES
Sn 118.71 Sn.upf
S 32.06 S.upf
N 14.01 N.upf
CELL_PARAMETERS angstrom
-3.127 -2.882 0.620
2.101 -1.544 3.416
-2.069 2.789 2.532
ATOMIC_POSITIONS crystal
Sn 0.500 0.500 0.500
S 0.000 0.000 0.500
S 0.000 0.500 0.000
S 0.500 0.000 0.000
N 0.000 0.000 0.000
```

Space group: Pm-3m (221)
Formation energy from raw total energies (eV/atom): 0.860
Density of states at the Fermi level (states/eV per cell): 4.3

***

No. 4
VASP calculation (GGA-PBE) on a relaxed RbTlCd4 crystal. Values from VASP.

Structure (Quantum ESPRESSO input):
```
&SYSTEM
  ibrav = 0, nat = 12, ntyp = 3
/
ATOMIC_SPECIES
Rb 85.47 Rb.upf
Cd 112.41 Cd.upf
Tl 204.38 Tl.upf
CELL_PARAMETERS angstrom
4.581 0.000 0.000
0.000 9.754 0.000
0.000 0.000 8.920
ATOMIC_POSITIONS crystal
Rb 0.000 0.608 0.750
Rb 0.000 0.392 0.250
Cd 0.500 0.048 0.250
Cd 0.500 0.222 0.975
Cd 0.000 0.000 0.000
Cd 0.500 0.222 0.525
Cd 0.000 0.000 0.500
Cd 0.500 0.778 0.025
Cd 0.500 0.952 0.750
Cd 0.500 0.778 0.475
Tl 0.000 0.238 0.750
Tl 0.000 0.762 0.250
```

Space group: Pmma (51)
Total DFT energy (no corrections) (eV per formula unit): -7.00
Density of states at the Fermi level (states/eV per cell): 4.7